1.
# GGA-PBE PrSmZn2, relaxed
# Energy of formation from the pure elements: -310 meV/atom
# M_tot: 0.00 μB/f.u.
# Energy relative to the lowest polymorph listed for this composition: 0.000 eV per atom
# Final energy: -13.29 eV/cell
data_PrSmZn2
_space_group_name_H-M_alt 'P 1'
_space_group_IT_number 1
_cell_length_a 5.1960
_cell_length_b 5.1960
_cell_length_c 5.1960
_cell_angle_alpha 60.00
_cell_angle_beta 60.00
_cell_angle_gamma 60.00
loop_
_space_group_symop_operation_xyz
'x,y,z'
loop_
_atom_site_label
_atom_site_fract_x
_atom_site_fract_y
_atom_site_fract_z
Zn1 0.7500 0.7500 0.7500
Sm1 0.5000 0.5000 0.5000
Pr1 0.0000 0.0000 0.0000
Zn2 0.2500 0.2500 0.2500

***

2.
# GGA-PBE Pr6Sm2Zn, relaxed
# Energy of formation from the pure elements: -40 meV/atom
# M_tot: 0.00 μB/f.u.
# Energy relative to the lowest polymorph listed for this composition: 0.000 eV per atom
# Final energy: -39.75 eV/cell
data_Pr6Sm2Zn
_space_group_name_H-M_alt 'P 1'
_space_group_IT_number 1
_cell_length_a 3.7487
_cell_length_b 9.6586
_cell_length_c 9.6631
_cell_angle_alpha 119.98
_cell_angle_beta 90.00
_cell_angle_gamma 90.00
loop_
_space_group_symop_operation_xyz
'x,y,z'
loop_
_atom_site_label
_atom_site_fract_x
_atom_site_fract_y
_atom_site_fract_z
Pr1 0.0000 0.7391 0.7389
Zn1 0.5000 0.9996 0.0000
Pr2 0.0000 0.2607 0.0000
Sm1 0.0000 0.6667 0.3332
Pr3 0.0000 0.0001 0.2611
Pr4 0.5000 0.3791 0.3790
Pr5 0.5000 0.0001 0.6210
Sm2 0.0000 0.3335 0.6668
Pr6 0.5000 0.6211 0.0000

***

3.
# GGA-PBE PrSm2Zn, relaxed
# Energy of formation from the pure elements: -34 meV/atom
# M_tot: 0.00 μB/f.u.
# Energy relative to the lowest polymorph listed for this composition: 0.122 eV per atom
# Final energy: -15.63 eV/cell
data_PrSm2Zn
_space_group_name_H-M_alt 'P 1'
_space_group_IT_number 1
_cell_length_a 4.8736
_cell_length_b 4.8533
_cell_length_c 4.8533
_cell_angle_alpha 90.00
_cell_angle_beta 90.00
_cell_angle_gamma 90.00
loop_
_space_group_symop_operation_xyz
'x,y,z'
loop_
_atom_site_label
_atom_site_fract_x
_atom_site_fract_y
_atom_site_fract_z
Pr1 0.5000 0.5000 0.5000
Zn1 0.5000 0.0000 0.0000
Sm1 0.0000 0.5000 0.0000
Sm2 0.0000 0.0000 0.5000

***

4.
# GGA-PBE PrSmZn2, relaxed
# Energy of formation from the pure elements: -87 meV/atom
# M_tot: 0.00 μB/f.u.
# Energy relative to the lowest polymorph listed for this composition: 0.223 eV per atom
# Final energy: -12.39 eV/cell
data_PrSmZn2
_space_group_name_H-M_alt 'P 1'
_space_group_IT_number 1
_cell_length_a 3.7108
_cell_length_b 3.7108
_cell_length_c 9.3885
_cell_angle_alpha 78.60
_cell_angle_beta 78.60
_cell_angle_gamma 60.00
loop_
_space_group_symop_operation_xyz
'x,y,z'
loop_
_atom_site_label
_atom_site_fract_x
_atom_site_fract_y
_atom_site_fract_z
Sm1 0.0000 0.0000 0.0000
Pr1 0.5000 0.5000 0.5000
Zn1 0.2519 0.2519 0.2443
Zn2 0.7481 0.7481 0.7557

***

5.
# GGA-PBE Pr2Sm2Zn3, relaxed
# Energy of formation from the pure elements: -184 meV/atom
# M_tot: 0.00 μB/f.u.
# Final energy: -24.11 eV/cell
data_Pr2Sm2Zn3
_space_group_name_H-M_alt 'P 1'
_space_group_IT_number 1
_cell_length_a 5.1514
_cell_length_b 5.1327
_cell_length_c 8.8837
_cell_angle_alpha 90.02
_cell_angle_beta 107.12
_cell_angle_gamma 119.92
loop_
_space_group_symop_operation_xyz
'x,y,z'
loop_
_atom_site_label
_atom_site_fract_x
_atom_site_fract_y
_atom_site_fract_z
Pr1 0.2543 0.1274 0.3809
Sm1 0.7550 0.3774 0.1321
Zn1 0.0000 0.0000 0.0000
Pr2 0.7457 0.8726 0.6191
Zn2 0.4919 0.7458 0.2377
Zn3 0.5081 0.2542 0.7623
Sm2 0.2450 0.6226 0.8679

***

6.
# GGA-PBE Pr2SmZn2, relaxed
# Energy of formation from the pure elements: -148 meV/atom
# M_tot: 0.00 μB/f.u.
# Energy relative to the lowest polymorph listed for this composition: 0.083 eV per atom
# Final energy: -35.13 eV/cell
data_Pr2SmZn2
_space_group_name_H-M_alt 'P 1'
_space_group_IT_number 1
_cell_length_a 4.4353
_cell_length_b 4.6745
_cell_length_c 13.6616
_cell_angle_alpha 100.25
_cell_angle_beta 90.00
_cell_angle_gamma 90.00
loop_
_space_group_symop_operation_xyz
'x,y,z'
loop_
_atom_site_label
_atom_site_fract_x
_atom_site_fract_y
_atom_site_fract_z
Pr1 0.7500 0.7343 0.4707
Sm1 0.7500 0.3658 0.7310
Pr2 0.2500 0.2657 0.5293
Zn1 0.7500 0.1641 0.3341
Zn2 0.2500 0.8359 0.6659
Zn3 0.7500 0.4750 0.9518
Pr3 0.7500 0.0569 0.1102
Zn4 0.2500 0.5250 0.0482
Sm2 0.2500 0.6342 0.2690
Pr4 0.2500 0.9431 0.8898

***

7.
# GGA-PBE PrSm6Zn2, relaxed
# Energy of formation from the pure elements: 251 meV/atom
# M_tot: 0.01 μB/f.u.
# Energy relative to the lowest polymorph listed for this composition: 0.385 eV per atom
# Final energy: -33.38 eV/cell
data_PrSm6Zn2
_space_group_name_H-M_alt 'P 1'
_space_group_IT_number 1
_cell_length_a 4.8444
_cell_length_b 4.8444
_cell_length_c 13.5499
_cell_angle_alpha 100.30
_cell_angle_beta 100.30
_cell_angle_gamma 90.00
loop_
_space_group_symop_operation_xyz
'x,y,z'
loop_
_atom_site_label
_atom_site_fract_x
_atom_site_fract_y
_atom_site_fract_z
Zn1 0.6776 0.6776 0.3553
Sm1 0.6076 0.1076 0.2153
Sm2 0.1076 0.6076 0.2153
Pr1 0.0000 0.0000 0.0000
Zn2 0.3224 0.3224 0.6447
Sm3 0.2500 0.7500 0.5000
Sm4 0.8924 0.3924 0.7847
Sm5 0.7500 0.2500 0.5000
Sm6 0.3924 0.8924 0.7847

***

8.
# GGA-PBE PrSm3Zn8, relaxed
# Energy of formation from the pure elements: -323 meV/atom
# M_tot: 0.00 μB/f.u.
# Energy relative to the lowest polymorph listed for this composition: 0.000 eV per atom
# Final energy: -33.01 eV/cell
data_PrSm3Zn8
_space_group_name_H-M_alt 'P 1'
_space_group_IT_number 1
_cell_length_a 5.5628
_cell_length_b 5.5628
_cell_length_c 9.5963
_cell_angle_alpha 73.15
_cell_angle_beta 73.15
_cell_angle_gamma 60.00
loop_
_space_group_symop_operation_xyz
'x,y,z'
loop_
_atom_site_label
_atom_site_fract_x
_atom_site_fract_y
_atom_site_fract_z
Zn1 0.1875 0.1875 0.4375
Zn2 0.9375 0.9375 0.6895
Zn3 0.4378 0.9390 0.1855
Zn4 0.9375 0.4356 0.6895
Sm1 0.9997 0.9997 0.0010
Zn5 0.4378 0.4378 0.1855
Zn6 0.9390 0.4378 0.1855
Zn7 0.6874 0.6874 0.9377
Pr1 0.8748 0.8748 0.3757
Sm2 0.3755 0.3755 0.8736
Zn8 0.4356 0.9375 0.6895
Sm3 0.5001 0.5001 0.4996

***

Question: Look up the final energy of the seventh one.
Answer: -33.38 eV/cell

***

Please write out number 5 again, unchanged.
# GGA-PBE Pr2Sm2Zn3, relaxed
# Energy of formation from the pure elements: -184 meV/atom
# M_tot: 0.00 μB/f.u.
# Final energy: -24.11 eV/cell
data_Pr2Sm2Zn3
_space_group_name_H-M_alt 'P 1'
_space_group_IT_number 1
_cell_length_a 5.1514
_cell_length_b 5.1327
_cell_length_c 8.8837
_cell_angle_alpha 90.02
_cell_angle_beta 107.12
_cell_angle_gamma 119.92
loop_
_space_group_symop_operation_xyz
'x,y,z'
loop_
_atom_site_label
_atom_site_fract_x
_atom_site_fract_y
_atom_site_fract_z
Pr1 0.2543 0.1274 0.3809
Sm1 0.7550 0.3774 0.1321
Zn1 0.0000 0.0000 0.0000
Pr2 0.7457 0.8726 0.6191
Zn2 0.4919 0.7458 0.2377
Zn3 0.5081 0.2542 0.7623
Sm2 0.2450 0.6226 0.8679

***

Question: Which value of final energy does entry 2 give?
Answer: -39.75 eV/cell